[1]
This record from Alexandria via LeMat-Bulk describes MgTcI2O after structural relaxation. The functional is GGA-PBE.

Cell and atoms, written as POSCAR:
```
MgTcI2O
1.0
-0.753 -1.057 -5.492
2.564 -4.990 0.609
-3.323 -1.614 0.766
I Mg Tc O
2 1 1 1
direct
0.000 0.500 0.000
0.500 0.000 0.000
0.500 0.500 0.500
0.000 0.000 0.000
0.000 0.000 0.500
```

Output
**Relative energy among the computed polymorphs**: 0.00 eV/f.u.
**E_tot**: -21.78 eV/cell
**DOS(E_F)**: 0.283 states/eV per atom
**Calculated density**: 5.42 g cm⁻³
**M_tot**: 0.00 μB/cell
**Formation energy from raw total energies**: -0.35 eV/atom

[2]
This record from Alexandria via LeMat-Bulk describes MgTe2IO after structural relaxation. The functional is GGA-PBE.

Cell and atoms, written as POSCAR:
```
MgTe2IO
1.0
4.482 0.000 0.000
0.000 4.482 0.000
0.000 0.000 6.794
Te I O Mg
2 1 1 1
direct
0.000 0.500 0.000
0.500 0.000 0.000
0.000 0.000 0.500
0.000 0.000 0.000
0.500 0.500 0.500
```

Output
**Relative energy among the computed polymorphs**: 0.00 eV/f.u.
**E_tot**: -15.01 eV/cell
**DOS(E_F)**: 0.680 states/eV per atom
**Calculated density**: 5.14 g cm⁻³
**M_tot**: 0.00 μB/cell
**Formation energy from raw total energies**: -0.12 eV/atom

[3]
This record from Alexandria via LeMat-Bulk describes MgTeI2O after structural relaxation. The functional is GGA-PBE.

Cell and atoms, written as POSCAR:
```
MgTeI2O
1.0
5.914 0.000 0.000
0.000 5.914 0.000
0.000 0.000 3.754
I Mg Te O
2 1 1 1
direct
0.000 0.500 0.000
0.500 0.000 0.000
0.000 0.000 0.000
0.500 0.500 0.500
0.000 0.000 0.500
```

Output
**Relative energy among the computed polymorphs**: 0.00 eV/f.u.
**E_tot**: -14.78 eV/cell
**DOS(E_F)**: 0.942 states/eV per atom
**Calculated density**: 5.33 g cm⁻³
**M_tot**: 0.00 μB/cell
**Formation energy from raw total energies**: -0.40 eV/atom

[4]
This record from Alexandria via LeMat-Bulk describes MgTeI2O after structural relaxation. The functional is GGA-PBE.

Cell and atoms, written as POSCAR:
```
MgTeI2O
1.0
-1.769 3.202 4.365
0.768 -4.397 3.537
5.321 1.675 0.928
Mg I O Te
1 2 1 1
direct
0.000 0.000 0.000
0.500 0.000 0.000
0.000 0.500 0.000
0.500 0.500 0.500
0.000 0.000 0.500
```

Output
**Relative energy among the computed polymorphs**: 4.07 eV/f.u.
**E_tot**: -10.71 eV/cell
**DOS(E_F)**: 1.808 states/eV per atom
**Calculated density**: 3.82 g cm⁻³
**M_tot**: 0.41 μB/cell
**Formation energy from raw total energies**: 0.42 eV/atom

[5]
This record from Alexandria via LeMat-Bulk describes MgTe2IO after structural relaxation. The functional is GGA-PBE.

Cell and atoms, written as POSCAR:
```
MgTe2IO
1.0
5.455 0.000 0.000
0.000 5.455 0.000
0.000 0.000 5.402
Mg I O Te
1 1 1 2
direct
0.000 0.000 0.000
0.000 0.000 0.500
0.500 0.500 0.500
0.000 0.500 0.000
0.500 0.000 0.000
```

Output
**Relative energy among the computed polymorphs**: 4.22 eV/f.u.
**E_tot**: -10.78 eV/cell
**DOS(E_F)**: 2.472 states/eV per atom
**Calculated density**: 4.36 g cm⁻³
**M_tot**: 0.00 μB/cell
**Formation energy from raw total energies**: 0.72 eV/atom

[6]
This record from Alexandria via LeMat-Bulk describes MgTeIO2 after structural relaxation. The functional is GGA-PBE.

Cell and atoms, written as POSCAR:
```
MgTeIO2
1.0
4.211 0.000 0.000
0.000 4.211 0.000
0.000 0.000 5.644
O I Te Mg
2 1 1 1
direct
0.000 0.500 0.000
0.500 0.000 0.000
0.000 0.000 0.500
0.500 0.500 0.500
0.000 0.000 0.000
```

Output
**Relative energy among the computed polymorphs**: 1.26 eV/f.u.
**E_tot**: -16.98 eV/cell
**DOS(E_F)**: 1.262 states/eV per atom
**Calculated density**: 5.16 g cm⁻³
**M_tot**: 0.00 μB/cell
**Formation energy from raw total energies**: -0.16 eV/atom

[7]
This record from Alexandria via LeMat-Bulk describes MgTeIO2 after structural relaxation. The functional is GGA-PBE.

Cell and atoms, written as POSCAR:
```
MgTeIO2
1.0
-3.366 -2.103 -1.231
1.714 -3.536 1.352
-3.082 1.046 6.641
I O Te Mg
1 2 1 1
direct
0.000 0.000 0.500
0.000 0.500 0.000
0.500 0.000 0.000
0.000 0.000 0.000
0.500 0.500 0.500
```

Output
**Relative energy among the computed polymorphs**: 0.00 eV/f.u.
**E_tot**: -18.24 eV/cell
**DOS(E_F)**: 0.515 states/eV per atom
**Calculated density**: 4.04 g cm⁻³
**M_tot**: 0.00 μB/cell
**Formation energy from raw total energies**: -0.41 eV/atom

[8]
This record from Alexandria via LeMat-Bulk describes MgTeI2O after structural relaxation. The functional is GGA-PBE.

Cell and atoms, written as POSCAR:
```
MgTeI2O
1.0
-1.137 -5.646 -2.366
2.439 -2.625 5.092
-3.687 0.002 1.767
I Mg O Te
2 1 1 1
direct
0.000 0.500 0.000
0.500 0.000 0.000
0.500 0.500 0.500
0.000 0.000 0.500
0.000 0.000 0.000
```

Output
**Relative energy among the computed polymorphs**: 1.04 eV/f.u.
**E_tot**: -13.74 eV/cell
**DOS(E_F)**: 0.506 states/eV per atom
**Calculated density**: 4.42 g cm⁻³
**M_tot**: 0.00 μB/cell
**Formation energy from raw total energies**: -0.19 eV/atom

> Which formula does entry 1 have?

MgTcI2O

Copy entry 1 word for word.
This record from Alexandria via LeMat-Bulk describes MgTcI2O after structural relaxation. The functional is GGA-PBE.

Cell and atoms, written as POSCAR:
```
MgTcI2O
1.0
-0.753 -1.057 -5.492
2.564 -4.990 0.609
-3.323 -1.614 0.766
I Mg Tc O
2 1 1 1
direct
0.000 0.500 0.000
0.500 0.000 0.000
0.500 0.500 0.500
0.000 0.000 0.000
0.000 0.000 0.500
```

Output
**Relative energy among the computed polymorphs**: 0.00 eV/f.u.
**E_tot**: -21.78 eV/cell
**DOS(E_F)**: 0.283 states/eV per atom
**Calculated density**: 5.42 g cm⁻³
**M_tot**: 0.00 μB/cell
**Formation energy from raw total energies**: -0.35 eV/atom

> Look up the relative energy among the computed polymorphs of the fourth one.

4.07 eV/f.u.

> What is the calculated density in the eighth record?

4.42 g cm⁻³